(1)
# YTcP3

A relaxed structure of YTcP3 (PBE, the Alexandria database).

energy of formation from the pure elements	1.587	eV/atom
energy above the most stable polymorph in this dataset	1637	meV per atom
crystal system	cubic

The structure in POSCAR format:
```
YTcP3
1.0
-1.481 -1.040 -4.755
1.056 -4.920 0.748
-4.751 -0.770 1.648
P Tc Y
3 1 1
Direct
0.500 0.000 0.000
0.000 0.500 0.000
0.000 0.000 0.500
0.500 0.500 0.500
0.000 0.000 0.000
```

=====

(2)
# VZn2Ni2

A relaxed structure of VZn2Ni2 (PBE, the Alexandria database).

energy of formation from the pure elements	0.005	eV/atom
energy above the most stable polymorph in this dataset	18	meV per atom
crystal system	tetragonal

The structure in POSCAR format:
```
VZn2Ni2
1.0
6.988 0.000 0.000
0.000 6.988 0.000
0.000 0.000 2.610
Zn Ni V
4 4 2
Direct
0.669 0.831 0.500
0.331 0.169 0.500
0.831 0.331 0.500
0.169 0.669 0.500
0.872 0.628 0.000
0.128 0.372 0.000
0.372 0.872 0.000
0.628 0.128 0.000
0.000 0.000 0.000
0.500 0.500 0.000
```

=====

(3)
# Hf2ZrTeAs

A relaxed structure of Hf2ZrTeAs (PBE, the Alexandria database).

formation energy from raw total energies	157	meV/atom
crystal system	tetragonal

The structure in POSCAR format:
```
Hf2ZrTeAs
1.0
4.971 0.000 0.000
0.000 5.092 0.000
0.000 0.000 4.971
Hf Zr Te As
2 1 1 1
Direct
0.000 0.000 0.500
0.500 0.000 0.000
0.000 0.500 0.000
0.500 0.500 0.500
0.000 0.000 0.000
```

=====

Volume? In order: 131.68 127.47 125.80 Å³/cell.